Record 1
ThAl3Pt4 after structural relaxation, computed with PBE.

abc: 4.303 4.303 9.094
angles: 76.31 76.31 60.00
Atoms (fractional coordinates):
Al (0.239, 0.239, 0.282)
Al (0.761, 0.761, 0.718)
Al (0.500, 0.500, 0.500)
Th (0.000, 0.000, 0.000)
Pt (0.402, 0.402, 0.793)
Pt (0.598, 0.598, 0.207)
Pt (0.865, 0.865, 0.405)
Pt (0.135, 0.135, 0.595)

Properties
ρ in g/cm3: 12.940
Magnetic moment in μB/f.u.: 0.0
Space group: R-3m (166)
DOS at the Fermi energy in states/eV/cell: 2.511
DFT formation energy in kJ/mol of formula units: -864

---

Record 2
Th3Al8Pt3 after structural relaxation, computed with PBE.

abc: 4.525 8.383 8.334
angles: 65.68 74.25 74.34
Atoms (fractional coordinates):
Pt (0.000, 0.500, 0.500)
Pt (0.351, 0.293, 0.004)
Pt (0.649, 0.707, 0.996)
Al (0.851, 0.436, 0.862)
Al (0.504, 0.667, 0.325)
Al (0.132, 0.159, 0.576)
Al (0.868, 0.841, 0.424)
Al (0.496, 0.333, 0.675)
Al (0.653, 0.984, 0.709)
Al (0.149, 0.564, 0.138)
Al (0.347, 0.016, 0.291)
Th (0.000, 0.000, 0.000)
Th (0.285, 0.720, 0.711)
Th (0.715, 0.280, 0.289)

Properties
ρ in g/cm3: 9.117
Magnetic moment in μB/f.u.: 0.0
Space group: C2/m (12)
DOS at the Fermi energy in states/eV/cell: 5.236
DFT formation energy in kJ/mol of formula units: -1058

---

Record 3
ThAl4Pt2 after structural relaxation, computed with PBE.

abc: 4.356 6.732 17.356
angles: 90.00 90.00 90.00
Atoms (fractional coordinates):
Al (0.750, 0.685, 0.964)
Al (0.750, 0.329, 0.315)
Al (0.250, 0.224, 0.194)
Al (0.250, 0.006, 0.927)
Al (0.250, 0.494, 0.427)
Al (0.250, 0.671, 0.685)
Al (0.250, 0.276, 0.694)
Al (0.750, 0.724, 0.306)
Al (0.250, 0.829, 0.185)
Al (0.750, 0.776, 0.806)
Al (0.250, 0.315, 0.036)
Al (0.750, 0.506, 0.573)
Al (0.750, 0.171, 0.815)
Al (0.250, 0.185, 0.536)
Al (0.750, 0.994, 0.073)
Al (0.750, 0.815, 0.464)
Pt (0.250, 0.531, 0.281)
Pt (0.750, 0.031, 0.219)
Pt (0.750, 0.249, 0.463)
Pt (0.750, 0.251, 0.963)
Pt (0.250, 0.969, 0.781)
Pt (0.250, 0.751, 0.537)
Pt (0.750, 0.469, 0.719)
Pt (0.250, 0.749, 0.037)
Th (0.750, 0.510, 0.135)
Th (0.750, 0.990, 0.635)
Th (0.250, 0.010, 0.365)
Th (0.250, 0.490, 0.865)

Properties
ρ in g/cm3: 9.528
Magnetic moment in μB/f.u.: 0.0
Space group: Pnma (62)
DOS at the Fermi energy in states/eV/cell: 11.146
DFT formation energy in kJ/mol of formula units: -642

---

Record 4
ThAl4Pt4 after structural relaxation, computed with PBE.

abc: 6.212 6.212 8.429
angles: 90.00 90.00 90.00
Atoms (fractional coordinates):
Pt (0.722, 0.000, 0.301)
Pt (0.000, 0.722, 0.699)
Pt (0.778, 0.500, 0.199)
Pt (0.222, 0.500, 0.199)
Pt (0.500, 0.778, 0.801)
Pt (0.278, 0.000, 0.301)
Pt (0.000, 0.278, 0.699)
Pt (0.500, 0.222, 0.801)
Al (0.500, 0.766, 0.104)
Al (0.234, 0.500, 0.896)
Al (0.000, 0.734, 0.396)
Al (0.000, 0.266, 0.396)
Al (0.766, 0.500, 0.896)
Al (0.266, 0.000, 0.604)
Al (0.734, 0.000, 0.604)
Al (0.500, 0.234, 0.104)
Th (0.000, 0.000, 0.000)
Th (0.500, 0.500, 0.500)

Properties
ρ in g/cm3: 11.437
Magnetic moment in μB/f.u.: 0.0
Space group: P4_2/nmc (137)
DOS at the Fermi energy in states/eV/cell: 8.439
DFT formation energy in kJ/mol of formula units: -833

---

Record 5
ThAl3Pt2 after structural relaxation, computed with PBE.

abc: 4.203 8.602 10.078
angles: 106.64 90.00 104.14
Atoms (fractional coordinates):
Th (0.000, 0.000, 0.000)
Th (0.156, 0.311, 0.707)
Th (0.844, 0.689, 0.293)
Al (0.955, 0.910, 0.640)
Al (0.670, 0.339, 0.963)
Al (0.045, 0.090, 0.360)
Al (0.368, 0.735, 0.798)
Al (0.330, 0.661, 0.037)
Al (0.632, 0.265, 0.202)
Al (0.785, 0.570, 0.610)
Al (0.215, 0.430, 0.390)
Al (0.500, 0.000, 0.500)
Pt (0.478, 0.957, 0.221)
Pt (0.522, 0.043, 0.779)
Pt (0.800, 0.599, 0.873)
Pt (0.640, 0.281, 0.453)
Pt (0.360, 0.719, 0.547)
Pt (0.200, 0.401, 0.127)

Properties
ρ in g/cm3: 10.378
Magnetic moment in μB/f.u.: 0.0
Space group: C2/m (12)
DOS at the Fermi energy in states/eV/cell: 10.417
DFT formation energy in kJ/mol of formula units: -596

---

Record 6
ThAl12Pt4 after structural relaxation, computed with PBE.

abc: 7.609 7.609 7.609
angles: 109.47 109.47 109.47
Atoms (fractional coordinates):
Al (0.841, 0.342, 0.184)
Al (0.342, 0.184, 0.841)
Al (0.501, 0.159, 0.342)
Al (0.342, 0.501, 0.159)
Al (0.184, 0.841, 0.342)
Al (0.816, 0.159, 0.658)
Al (0.159, 0.342, 0.501)
Al (0.841, 0.658, 0.499)
Al (0.658, 0.816, 0.159)
Al (0.159, 0.658, 0.816)
Al (0.658, 0.499, 0.841)
Al (0.499, 0.841, 0.658)
Pt (0.500, 0.500, 0.500)
Pt (0.000, 0.000, 0.500)
Pt (0.500, 0.000, 0.000)
Pt (0.000, 0.500, 0.000)
Th (0.000, 0.000, 0.000)

Properties
ρ in g/cm3: 6.543
Magnetic moment in μB/f.u.: 0.0
Space group: Im-3 (204)
DOS at the Fermi energy in states/eV/cell: 11.304
DFT formation energy in kJ/mol of formula units: -610

---

Copy entry 2 word for word.
Th3Al8Pt3 after structural relaxation, computed with PBE.

abc: 4.525 8.383 8.334
angles: 65.68 74.25 74.34
Atoms (fractional coordinates):
Pt (0.000, 0.500, 0.500)
Pt (0.351, 0.293, 0.004)
Pt (0.649, 0.707, 0.996)
Al (0.851, 0.436, 0.862)
Al (0.504, 0.667, 0.325)
Al (0.132, 0.159, 0.576)
Al (0.868, 0.841, 0.424)
Al (0.496, 0.333, 0.675)
Al (0.653, 0.984, 0.709)
Al (0.149, 0.564, 0.138)
Al (0.347, 0.016, 0.291)
Th (0.000, 0.000, 0.000)
Th (0.285, 0.720, 0.711)
Th (0.715, 0.280, 0.289)

Properties
ρ in g/cm3: 9.117
Magnetic moment in μB/f.u.: 0.0
Space group: C2/m (12)
DOS at the Fermi energy in states/eV/cell: 5.236
DFT formation energy in kJ/mol of formula units: -1058

---

- Which value of magnetic moment does entry 5 give?
  0.0 μB/f.u.

---

Please write out number 5 again, unchanged.
ThAl3Pt2 after structural relaxation, computed with PBE.

abc: 4.203 8.602 10.078
angles: 106.64 90.00 104.14
Atoms (fractional coordinates):
Th (0.000, 0.000, 0.000)
Th (0.156, 0.311, 0.707)
Th (0.844, 0.689, 0.293)
Al (0.955, 0.910, 0.640)
Al (0.670, 0.339, 0.963)
Al (0.045, 0.090, 0.360)
Al (0.368, 0.735, 0.798)
Al (0.330, 0.661, 0.037)
Al (0.632, 0.265, 0.202)
Al (0.785, 0.570, 0.610)
Al (0.215, 0.430, 0.390)
Al (0.500, 0.000, 0.500)
Pt (0.478, 0.957, 0.221)
Pt (0.522, 0.043, 0.779)
Pt (0.800, 0.599, 0.873)
Pt (0.640, 0.281, 0.453)
Pt (0.360, 0.719, 0.547)
Pt (0.200, 0.401, 0.127)

Properties
ρ in g/cm3: 10.378
Magnetic moment in μB/f.u.: 0.0
Space group: C2/m (12)
DOS at the Fermi energy in states/eV/cell: 10.417
DFT formation energy in kJ/mol of formula units: -596

---

- Among the records above, which one has the lowest DFT formation energy?
  Th3Al8Pt3